Below is crystalline FeIr2Pt at its relaxed geometry, with properties calculated at the PBE level.

The value obtained for the energy of formation from the pure elements is -0.050 eV per atom. The total magnetization is 2.7 Bohr magnetons per cell. The calculation puts the electronic total energy at -8.106 eV/atom.

It has space group P4mm (No. 99), with a = 2.736 Å, b = 2.736 Å, c = 7.617 Å, α = 90.00°, β = 90.00° and γ = 90.00°. The asymmetric unit holds Fe at (0.000, 0.000, 0.000), Ir at (0.000, 0.000, 0.486), Ir at (0.500, 0.500, 0.239) and Pt at (0.500, 0.500, 0.756).